Run w
The following is a DFT calculation (PBE) of a geometry-optimized Pr5Nd5Dy structure.

Unit cell a=7.095 b=7.099 c=8.779 alpha=76.06 beta=75.83 gamma=70.66
Space group P-1 (No. 2)
Asymmetric unit:
Pr 0.000 0.000 0.000 x1
Pr 0.196 0.691 0.358 x2
Pr 0.266 0.356 0.728 x2
Nd 0.148 0.228 0.277 x2
Nd 0.355 0.855 0.644 x2
Nd 0.500 0.500 0.000 x1
Dy 0.500 0.000 0.000 x1

Results
- M_tot: 0.00 μB per formula unit
- N(E_F): 17.35 states/eV/cell
- Theoretical density: 6.62 g/cm3


Run x
The following is a DFT calculation (PBE) of a geometry-optimized Pr5Nd5Dy structure.

Unit cell a=19.315 b=6.197 c=7.104 alpha=90.00 beta=111.19 gamma=90.00
Space group C2/m (No. 12)
Asymmetric unit:
Pr 0.000 0.000 0.000 x2
Pr 0.174 0.500 0.417 x4
Pr 0.174 0.500 0.929 x4
Nd 0.000 0.500 0.500 x2
Nd 0.126 0.000 0.628 x4
Nd 0.170 0.000 0.173 x4
Dy 0.000 0.500 0.000 x2

Results
- M_tot: 0.00 μB per formula unit
- N(E_F): 36.44 states/eV/cell
- Theoretical density: 6.65 g/cm3


Preferred: run w; penalty for the next structure: 9.4 kJ/mol of atoms.


Run w
The following is a DFT calculation (PBE) of a geometry-optimized Pr3Nd2Dy3 structure.

Unit cell a=5.136 b=5.157 c=20.605 alpha=90.00 beta=90.00 gamma=90.00
Space group Immm (No. 71)
Asymmetric unit:
Pr 0.000 0.000 0.000 x2
Pr 0.000 0.500 0.123 x4
Nd 0.000 0.000 0.250 x4
Dy 0.000 0.000 0.500 x2
Dy 0.000 0.500 0.375 x4

Results
- M_tot: 0.00 μB per formula unit
- N(E_F): 24.97 states/eV/cell
- Theoretical density: 7.29 g/cm3


Run x
The following is a DFT calculation (PBE) of a geometry-optimized Pr3Nd2Dy3 structure.

Unit cell a=5.664 b=12.070 c=16.269 alpha=90.00 beta=90.00 gamma=90.00
Space group Cmcm (No. 63)
Asymmetric unit:
Pr 0.000 0.075 0.095 x8
Pr 0.000 0.265 0.250 x4
Nd 0.000 0.221 0.628 x8
Dy 0.000 0.381 0.050 x8
Dy 0.000 0.460 0.750 x4

Results
- M_tot: 0.00 μB per formula unit
- N(E_F): 44.53 states/eV/cell
- Theoretical density: 7.16 g/cm3


Preferred: run w; penalty for the next structure: 10.4 kJ/mol of atoms.


Run w
The following is a DFT calculation (PBE) of a geometry-optimized Pr4Nd6Dy structure.

Unit cell a=6.782 b=6.782 c=17.370 alpha=90.00 beta=90.00 gamma=90.00
Space group I-42m (No. 121)
Asymmetric unit:
Pr 0.177 0.177 0.373 x8
Nd 0.000 0.500 0.000 x4
Nd 0.189 0.189 0.176 x8
Dy 0.000 0.000 0.000 x2

Results
- M_tot: 0.00 μB per formula unit
- N(E_F): 33.98 states/eV/cell
- Theoretical density: 6.62 g/cm3


Run x
The following is a DFT calculation (PBE) of a geometry-optimized Pr4Nd6Dy structure.

Unit cell a=7.780 b=7.780 c=13.439 alpha=90.00 beta=90.00 gamma=90.00
Space group I-42m (No. 121)
Asymmetric unit:
Pr 0.230 0.230 0.189 x8
Nd 0.000 0.500 0.000 x4
Nd 0.172 0.172 0.422 x8
Dy 0.000 0.000 0.000 x2

Results
- M_tot: 0.00 μB per formula unit
- N(E_F): 26.73 states/eV/cell
- Theoretical density: 6.50 g/cm3


Preferred: run w; penalty for the next structure: 7.4 kJ/mol of atoms.


Run w
The following is a DFT calculation (PBE) of a geometry-optimized PrNd2Dy4 structure.

Unit cell a=6.233 b=6.246 c=6.259 alpha=99.80 beta=99.68 gamma=99.45
Space group P-1 (No. 2)
Asymmetric unit:
Pr 0.000 0.000 0.000 x1
Nd 0.144 0.287 0.572 x2
Dy 0.288 0.573 0.142 x2
Dy 0.430 0.858 0.714 x2

Results
- M_tot: 0.00 μB per formula unit
- N(E_F): 9.16 states/eV/cell
- Theoretical density: 7.73 g/cm3


Run x
The following is a DFT calculation (PBE) of a geometry-optimized PrNd2Dy4 structure.

Unit cell a=11.050 b=11.051 c=8.159 alpha=90.00 beta=90.23 gamma=90.00
Space group C2/m (No. 12)
Asymmetric unit:
Pr 0.000 0.000 0.000 x2
Pr 0.000 0.000 0.500 x2
Nd 0.000 0.500 0.000 x2
Nd 0.000 0.500 0.500 x2
Nd 0.250 0.250 0.000 x4
Dy 0.001 0.251 0.281 x8
Dy 0.249 0.500 0.281 x4
Dy 0.249 0.500 0.719 x4

Results
- M_tot: 0.55 μB per formula unit
- N(E_F): 49.39 states/eV/cell
- Theoretical density: 7.20 g/cm3


Preferred: run w; penalty for the next structure: 29.0 kJ/mol of atoms.


Run w
The following is a DFT calculation (PBE) of a geometry-optimized Pr3Nd5Dy4 structure.

Unit cell a=6.317 b=7.278 c=8.925 alpha=89.90 beta=89.96 gamma=90.00
Space group P-1 (No. 2)
Asymmetric unit:
Pr 0.000 0.000 0.000 x1
Pr 0.166 0.748 0.336 x2
Nd 0.000 0.500 0.000 x1
Nd 0.333 0.000 0.665 x2
Nd 0.499 0.253 0.001 x2
Dy 0.168 0.253 0.335 x2
Dy 0.334 0.500 0.665 x2

Results
- M_tot: 0.00 μB per formula unit
- N(E_F): 16.39 states/eV/cell
- Theoretical density: 7.26 g/cm3


Run x
The following is a DFT calculation (PBE) of a geometry-optimized Pr3Nd5Dy4 structure.

Unit cell a=16.348 b=6.058 c=9.403 alpha=90.00 beta=116.05 gamma=90.00
Space group C2/m (No. 12)
Asymmetric unit:
Pr 0.000 0.000 0.000 x2
Pr 0.208 0.500 0.227 x4
Nd 0.000 0.500 0.000 x2
Nd 0.076 0.000 0.699 x4
Nd 0.173 0.000 0.386 x4
Dy 0.082 0.500 0.442 x4
Dy 0.211 0.500 0.876 x4

Results
- M_tot: 0.00 μB per formula unit
- N(E_F): 38.91 states/eV/cell
- Theoretical density: 7.12 g/cm3


Preferred: run w; penalty for the next structure: 19.3 kJ/mol of atoms.


Run w
The following is a DFT calculation (PBE) of a geometry-optimized Pr2Nd8Dy structure.

Unit cell a=11.385 b=7.530 c=9.503 alpha=90.00 beta=106.93 gamma=90.00
Space group C2/m (No. 12)
Asymmetric unit:
Pr 0.141 0.000 0.132 x4
Nd 0.067 0.284 0.769 x8
Nd 0.179 0.500 0.126 x4
Nd 0.192 0.500 0.496 x4
Dy 0.000 0.000 0.500 x2

Results
- M_tot: 0.00 μB per formula unit
- N(E_F): 36.17 states/eV/cell
- Theoretical density: 6.81 g/cm3


Run x
The following is a DFT calculation (PBE) of a geometry-optimized Pr2Nd8Dy structure.

Unit cell a=9.239 b=16.731 c=6.054 alpha=90.00 beta=123.35 gamma=90.00
Space group C2/m (No. 12)
Asymmetric unit:
Pr 0.000 0.192 0.000 x4
Nd 0.000 0.295 0.500 x4
Nd 0.079 0.000 0.297 x4
Nd 0.215 0.384 0.178 x8
Dy 0.000 0.500 0.500 x2

Results
- M_tot: 0.00 μB per formula unit
- N(E_F): 30.26 states/eV/cell
- Theoretical density: 6.79 g/cm3


Preferred: run w; penalty for the next structure: 1.7 kJ/mol of atoms.